PBE-GGA PuTl3S3, relaxed; E_form (uncorrected) = -0.85 eV per atom; magnetization = 0.714 μB/atom; D(E_F) = 1.171 states/eV/atom; raw total energy = -5.68 eV per atom
1.0
8.728 0.000 0.000
0.000 4.106 0.000
-0.346 0.000 11.923
Pu Tl S
2 6 6
Direct
0.120 0.250 0.382
0.880 0.750 0.618
0.138 0.250 0.871
0.342 0.750 0.139
0.377 0.750 0.634
0.623 0.250 0.366
0.658 0.250 0.861
0.862 0.750 0.129
0.091 0.250 0.610
0.102 0.250 0.150
0.333 0.750 0.387
0.667 0.250 0.613
0.898 0.750 0.850
0.909 0.750 0.390

PBE-GGA Tb6SmY2Er3, relaxed; magnetization = 0.000 μB/atom; D(E_F) = 1.324 states/eV/atom; raw total energy = -4.91 eV per atom
1.0
3.080 -5.328 0.000
3.080 5.328 0.000
-2.039 0.000 11.600
Tb Sm Y Er
6 1 2 3
Direct
0.085 0.418 0.753
0.248 0.248 0.247
0.418 0.085 0.753
0.582 0.915 0.247
0.752 0.752 0.753
0.915 0.582 0.247
0.000 0.000 0.500
0.333 0.667 0.500
0.667 0.333 0.500
0.167 0.833 0.000
0.500 0.500 0.000
0.833 0.167 0.000

PBE-GGA Mn2AsCl, relaxed; E_form (uncorrected) = 0.54 eV per atom; magnetization = 0.000 μB/atom; D(E_F) = 2.064 states/eV/atom; ΔE to the lowest computed polymorph = 71.40 kJ/mol of atoms; raw total energy = -5.67 eV per atom
1.0
0.000 2.954 2.954
2.954 0.000 2.954
2.954 2.954 0.000
Mn As Cl
2 1 1
Direct
0.250 0.250 0.250
0.750 0.750 0.750
0.000 0.000 0.000
0.500 0.500 0.500

PBE-GGA Rb6AuI, relaxed; E_form (uncorrected) = -0.41 eV per atom; magnetization = 0.000 μB/atom; D(E_F) = 0.589 states/eV/atom; raw total energy = -1.74 eV per atom
1.0
4.438 -7.668 0.000
4.438 7.668 0.000
-3.008 0.000 8.339
Rb Au I
6 1 1
Direct
0.070 0.400 0.238
0.245 0.245 0.759
0.400 0.070 0.238
0.600 0.930 0.762
0.755 0.755 0.241
0.930 0.600 0.762
0.000 0.000 0.000
0.500 0.500 0.500

PBE-GGA La2P6Pd21, relaxed; magnetization = 0.000 μB/atom; D(E_F) = 0.349 states/eV/atom; raw total energy = -5.86 eV per atom
1.0
0.000 6.140 6.140
6.140 0.000 6.140
6.140 6.140 0.000
La P Pd
2 6 21
Direct
0.250 0.250 0.250
0.750 0.750 0.750
0.240 0.240 0.760
0.240 0.760 0.240
0.240 0.760 0.760
0.760 0.240 0.240
0.760 0.240 0.760
0.760 0.760 0.240
0.113 0.113 0.113
0.113 0.113 0.660
0.113 0.660 0.113
0.156 0.500 0.500
0.156 0.500 0.844
0.156 0.844 0.500
0.340 0.887 0.887
0.500 0.156 0.500
0.500 0.156 0.844
0.500 0.500 0.156
0.500 0.500 0.500
0.500 0.500 0.844
0.500 0.844 0.156
0.500 0.844 0.500
0.660 0.113 0.113
0.844 0.156 0.500
0.844 0.500 0.156
0.844 0.500 0.500
0.887 0.340 0.887
0.887 0.887 0.340
0.887 0.887 0.887

PBE-GGA LaScO2F, relaxed; E_form (uncorrected) = -2.19 eV per atom; magnetization = 0.198 μB/atom; D(E_F) = 0.767 states/eV/atom; raw total energy = -6.80 eV per atom
1.0
4.657 0.000 0.000
0.000 4.657 0.000
0.000 0.000 4.517
La Sc O F
1 1 2 1
Direct
0.000 0.000 0.000
0.500 0.500 0.500
0.000 0.500 0.000
0.500 0.000 0.000
0.000 0.000 0.500

PBE-GGA CoPd8Au6, relaxed; magnetization = 0.278 μB/atom; D(E_F) = 0.688 states/eV/atom; raw total energy = -4.46 eV per atom
1.0
7.639 0.000 0.000
-3.820 6.616 0.000
0.000 0.000 4.982
Co Pd Au
1 8 6
Direct
0.000 0.000 0.000
0.052 0.267 0.292
0.215 0.948 0.292
0.267 0.215 0.708
0.333 0.667 0.281
0.667 0.333 0.719
0.733 0.785 0.292
0.785 0.052 0.708
0.948 0.733 0.708
0.099 0.466 0.781
0.367 0.901 0.781
0.466 0.367 0.219
0.534 0.633 0.781
0.633 0.099 0.219
0.901 0.534 0.219

PBE-GGA PmY5Tm3, relaxed; magnetization = 0.000 μB/atom; D(E_F) = 1.587 states/eV/atom; ΔE to the lowest computed polymorph = 0.00 kJ/mol of atoms; raw total energy = -5.39 eV per atom
1.0
7.991 -3.346 0.000
7.991 3.346 0.000
-3.931 0.000 11.125
Pm Y Tm
2 10 6
Direct
0.200 0.800 0.750
0.800 0.200 0.250
0.086 0.477 0.737
0.136 0.234 0.952
0.234 0.136 0.452
0.305 0.695 0.250
0.477 0.086 0.237
0.523 0.914 0.763
0.695 0.305 0.750
0.766 0.864 0.548
0.864 0.766 0.048
0.914 0.523 0.263
0.000 0.000 0.000
0.000 0.000 0.500
0.343 0.447 0.488
0.447 0.343 0.988
0.553 0.657 0.012
0.657 0.553 0.512

PBE-GGA LiHoHfAl, relaxed; magnetization = 0.000 μB/atom; D(E_F) = 0.599 states/eV/atom; raw total energy = -5.13 eV per atom
1.0
0.000 3.466 3.466
3.466 0.000 3.466
3.466 3.466 0.000
Li Ho Hf Al
1 1 1 1
Direct
0.000 0.000 0.000
0.750 0.750 0.750
0.250 0.250 0.250
0.500 0.500 0.500

PBE-GGA CaTb3Y7, relaxed; magnetization = 0.000 μB/atom; D(E_F) = 1.628 states/eV/atom; raw total energy = -5.31 eV per atom
1.0
5.858 -5.032 0.000
5.858 5.032 0.000
-0.573 0.000 6.449
Ca Tb Y
1 3 7
Direct
0.000 0.000 0.000
0.330 0.670 0.500
0.500 0.500 0.000
0.670 0.330 0.500
0.000 0.000 0.500
0.076 0.416 0.757
0.267 0.267 0.292
0.416 0.076 0.757
0.584 0.924 0.243
0.733 0.733 0.708
0.924 0.584 0.243

PBE-GGA Mo2IrPd2, relaxed; magnetization = 0.000 μB/atom; D(E_F) = 0.971 states/eV/atom; ΔE to the lowest computed polymorph = 0.00 kJ/mol of atoms; raw total energy = -7.77 eV per atom
1.0
-1.833 1.833 6.252
1.833 -1.833 6.252
1.833 1.833 -6.252
Mo Ir Pd
2 1 2
Direct
0.090 0.090 0.000
0.910 0.910 0.000
0.500 0.500 0.000
0.250 0.750 0.500
0.750 0.250 0.500

PBE-GGA Y2HI, relaxed; magnetization = 0.000 μB/atom; D(E_F) = 0.479 states/eV/atom; ΔE to the lowest computed polymorph = 54.48 kJ/mol of atoms; raw total energy = -4.43 eV per atom
1.0
0.000 3.587 3.587
3.587 0.000 3.587
3.587 3.587 0.000
Y H I
2 1 1
Direct
0.250 0.250 0.250
0.750 0.750 0.750
0.000 0.000 0.000
0.500 0.500 0.500

PBE-GGA CeErTm6, relaxed; magnetization = 0.178 μB/atom; D(E_F) = 2.125 states/eV/atom; ΔE to the lowest computed polymorph = 0.00 kJ/mol of atoms; raw total energy = -4.50 eV per atom
1.0
4.339 -4.590 0.000
4.339 4.590 0.000
-0.879 0.000 6.288
Ce Er Tm
1 1 6
Direct
0.000 0.000 0.000
0.000 0.000 0.500
0.153 0.515 0.292
0.348 0.348 0.801
0.485 0.847 0.708
0.515 0.153 0.292
0.652 0.652 0.199
0.847 0.485 0.708

PBE-GGA Tl2CdNiBr, relaxed; E_form (uncorrected) = -0.18 eV per atom; magnetization = 0.000 μB/atom; D(E_F) = 0.350 states/eV/atom; raw total energy = -2.80 eV per atom
1.0
5.176 0.000 0.000
0.000 5.176 0.000
0.000 0.000 5.129
Tl Cd Ni Br
2 1 1 1
Direct
0.000 0.500 0.000
0.500 0.000 0.000
0.000 0.000 0.500
0.000 0.000 0.000
0.500 0.500 0.500

PBE-GGA FePbBr4, relaxed; E_form (uncorrected) = -0.59 eV per atom; magnetization = 0.667 μB/atom; D(E_F) = 0.997 states/eV/atom; ΔE to the lowest computed polymorph = 0.00 kJ/mol of atoms; raw total energy = -3.74 eV per atom
1.0
-3.215 3.215 5.975
3.215 -3.215 5.975
3.215 3.215 -5.975
Fe Pb Br
1 1 4
Direct
0.000 0.000 0.000
0.250 0.750 0.500
0.084 0.645 0.960
0.355 0.315 0.439
0.685 0.124 0.040
0.876 0.916 0.561

PBE-GGA LaTb5Tm2Th, relaxed; magnetization = 0.000 μB/atom; D(E_F) = 1.555 states/eV/atom; raw total energy = -4.77 eV per atom
1.0
2.818 -9.992 0.000
2.818 9.992 0.000
0.000 0.000 10.444
La Tb Tm Th
2 10 4 2
Direct
0.086 0.914 0.500
0.914 0.086 0.000
0.023 0.977 0.794
0.114 0.886 0.084
0.205 0.795 0.766
0.224 0.776 0.377
0.484 0.516 0.082
0.516 0.484 0.582
0.776 0.224 0.877
0.795 0.205 0.266
0.886 0.114 0.584
0.977 0.023 0.294
0.387 0.613 0.376
0.387 0.613 0.791
0.613 0.387 0.291
0.613 0.387 0.876
0.301 0.699 0.074
0.699 0.301 0.574

PBE-GGA Na2BAu, relaxed; magnetization = 0.047 μB/atom; D(E_F) = 0.803 states/eV/atom; raw total energy = -2.95 eV per atom
1.0
-5.250 5.250 2.037
5.250 -5.250 2.037
5.250 5.250 -2.037
Na B Au
4 2 2
Direct
0.375 0.086 0.211
0.836 0.625 0.711
0.875 0.164 0.789
0.914 0.125 0.289
0.000 0.000 0.000
0.750 0.250 0.500
0.250 0.750 0.500
0.500 0.500 0.000

PBE-GGA GeBi2Au2, relaxed; magnetization = 0.000 μB/atom; D(E_F) = 0.431 states/eV/atom; ΔE to the lowest computed polymorph = 6.34 kJ/mol of atoms; raw total energy = -3.71 eV per atom
1.0
7.316 0.000 0.000
0.000 7.316 0.000
0.000 0.000 4.547
Ge Bi Au
2 4 4
Direct
0.000 0.000 0.000
0.500 0.500 0.000
0.175 0.325 0.500
0.325 0.825 0.500
0.675 0.175 0.500
0.825 0.675 0.500
0.137 0.637 0.000
0.363 0.137 0.000
0.637 0.863 0.000
0.863 0.363 0.000

PBE-GGA H2AuN, relaxed; magnetization = 0.000 μB/atom; D(E_F) = 0.280 states/eV/atom; ΔE to the lowest computed polymorph = 156.45 kJ/mol of atoms; raw total energy = -2.92 eV per atom
1.0
0.000 2.515 2.515
2.515 0.000 2.515
2.515 2.515 0.000
H Au N
2 1 1
Direct
0.250 0.250 0.250
0.750 0.750 0.750
0.000 0.000 0.000
0.500 0.500 0.500

PBE-GGA PrIn2ReO8, relaxed; E_form (uncorrected) = -1.85 eV per atom; magnetization = 0.000 μB/atom; D(E_F) = 0.016 states/eV/atom; raw total energy = -7.05 eV per atom
1.0
4.985 0.000 0.000
0.000 6.771 0.000
-0.012 0.000 4.991
Pr In Re O
1 2 1 8
Direct
0.000 0.000 0.000
0.500 0.252 0.500
0.500 0.748 0.500
0.000 0.500 0.000
0.187 0.301 0.185
0.187 0.699 0.185
0.277 0.500 0.721
0.316 0.000 0.680
0.684 0.000 0.320
0.723 0.500 0.279
0.813 0.301 0.815
0.813 0.699 0.815

PBE-GGA ThGeSb, relaxed; E_form (uncorrected) = -0.69 eV per atom; magnetization = 0.000 μB/atom; D(E_F) = 0.485 states/eV/atom; raw total energy = -6.07 eV per atom
1.0
2.178 -8.453 0.000
2.178 8.453 0.000
0.000 0.000 4.229
Th Ge Sb
2 2 2
Direct
0.100 0.900 0.750
0.900 0.100 0.250
0.449 0.551 0.750
0.551 0.449 0.250
0.250 0.750 0.250
0.750 0.250 0.750

PBE-GGA V3FeS6, relaxed; E_form (uncorrected) = -0.82 eV per atom; magnetization = 0.020 μB/atom; D(E_F) = 0.623 states/eV/atom; raw total energy = -6.88 eV per atom
1.0
2.796 1.614 5.535
-2.796 1.614 5.535
0.000 -3.229 5.535
V Fe S
3 1 6
Direct
0.000 0.000 0.000
0.331 0.331 0.331
0.669 0.669 0.669
0.500 0.500 0.500
0.089 0.755 0.420
0.245 0.580 0.911
0.420 0.089 0.755
0.580 0.911 0.245
0.755 0.420 0.089
0.911 0.245 0.580

PBE-GGA TaTiCr4, relaxed; magnetization = 0.000 μB/atom; D(E_F) = 0.516 states/eV/atom; raw total energy = -9.85 eV per atom
1.0
0.000 3.448 3.448
3.448 0.000 3.448
3.448 3.448 0.000
Ta Ti Cr
1 1 4
Direct
0.000 0.000 0.000
0.750 0.750 0.750
0.375 0.375 0.375
0.375 0.375 0.875
0.375 0.875 0.375
0.875 0.375 0.375